4
Lattice="2.641 0.000 0.000 0.000 3.951 0.000 0.000 0.000 5.476" Properties=species:S:1:pos:R:3 comment="Li2TcOs | Alexandria via LeMat-Bulk | PBEsol | optimized geometry" density_g_cm3=8.8 e_form_mev_per_atom=227 dos_at_fermi_per_ev_cell=2.1 m_tot_mub_per_atom=0.00 pbc="T T T"
Li 0.000 0.000 0.000
Li 1.320 1.976 1.193
Tc 1.320 1.976 3.777
Os 0.000 0.000 2.837


8
Lattice="-5.158 5.158 2.339 5.158 -5.158 2.339 5.158 5.158 -2.339" Properties=species:S:1:pos:R:3 comment="NbSI2 | Alexandria via LeMat-Bulk | PBEsol | optimized geometry" density_g_cm3=5.1 raw_formation_energy_ev_per_fu=-1.25 dos_at_fermi_per_ev_cell=4.7 m_tot_mub_per_atom=0.22 pbc="T T T"
Nb 0.000 0.000 0.000
Nb 0.000 5.158 1.169
S 5.158 0.000 1.169
S 0.000 0.000 2.339
I -1.069 2.579 0.585
I 2.579 4.089 1.754
I 1.069 7.738 0.585
I -2.579 6.228 1.754


5
Lattice="4.190 0.000 0.000 0.000 4.190 0.000 0.000 0.000 3.915" Properties=species:S:1:pos:R:3 comment="TaAsOF2 | Alexandria via LeMat-Bulk | PBEsol | optimized geometry" density_g_cm3=7.5 raw_formation_energy_ev_per_fu=-6.79 dos_at_fermi_per_ev_cell=4.1 m_tot_mub_per_atom=0.32 pbc="T T T"
Ta 0.000 0.000 0.000
As 2.095 2.095 1.957
O 0.000 0.000 1.957
F 0.000 2.095 0.000
F 2.095 0.000 0.000


5
Lattice="4.058 0.000 0.000 0.000 4.058 0.000 0.000 0.000 4.058" Properties=species:S:1:pos:R:3 comment="Co3TeF | Alexandria via LeMat-Bulk | PBEsol | optimized geometry" density_g_cm3=8.0 raw_formation_energy_ev_per_fu=1.83 dos_at_fermi_per_ev_cell=6.0 m_tot_mub_per_atom=1.09 pbc="T T T"
Co 0.000 0.000 2.029
Co 0.000 2.029 0.000
Co 2.029 0.000 0.000
Te 2.029 2.029 2.029
F 0.000 0.000 0.000


4
Lattice="3.445 -3.463 0.000 3.445 3.463 0.000 0.000 0.000 3.052" Properties=species:S:1:pos:R:3 comment="Be2TlBr | Alexandria via LeMat-Bulk | PBEsol | optimized geometry" density_g_cm3=6.9 raw_formation_energy_ev_per_fu=3.28 dos_at_fermi_per_ev_cell=2.0 m_tot_mub_per_atom=0.00 pbc="T T T"
Be 1.722 1.731 0.000
Be 1.722 -1.731 0.000
Tl 0.000 0.000 1.526
Br 3.445 0.000 1.526


6
Lattice="5.505 0.000 0.000 -2.752 4.767 0.000 0.000 0.000 4.995" Properties=species:S:1:pos:R:3 comment="Sc5Al | Alexandria via LeMat-Bulk | PBEsol | optimized geometry" density_g_cm3=3.2 e_form_mev_per_atom=-114 dos_at_fermi_per_ev_cell=10.5 m_tot_mub_per_atom=0.00 pbc="T T T"
Sc -1.885 3.265 0.000
Sc 0.867 1.502 0.000
Sc 0.000 3.178 2.497
Sc 2.752 1.589 2.497
Sc 3.770 0.000 0.000
Al 0.000 0.000 2.497


4
Lattice="0.000 3.449 3.449 3.449 0.000 3.449 3.449 3.449 0.000" Properties=species:S:1:pos:R:3 comment="LiY2Rh | Alexandria via LeMat-Bulk | PBEsol | optimized geometry" density_g_cm3=5.8 e_form_mev_per_atom=-451 dos_at_fermi_per_ev_cell=2.4 m_tot_mub_per_atom=0.00 pbc="T T T"
Li 0.000 0.000 0.000
Y 1.724 1.724 1.724
Y 5.173 5.173 5.173
Rh 3.449 3.449 3.449


4
Lattice="0.000 3.042 3.042 3.042 0.000 3.042 3.042 3.042 0.000" Properties=species:S:1:pos:R:3 comment="MnGe2F | Alexandria via LeMat-Bulk | PBEsol | optimized geometry" density_g_cm3=6.5 raw_formation_energy_ev_per_fu=-0.83 dos_at_fermi_per_ev_cell=2.6 m_tot_mub_per_atom=0.84 pbc="T T T"
Mn 0.000 0.000 0.000
Ge 1.521 1.521 1.521
Ge 4.564 4.564 4.564
F 3.042 3.042 3.042